! MgOsC3 PBE relaxed; values from VASP
&SYSTEM
  ibrav = 0, nat = 5, ntyp = 3
/
ATOMIC_SPECIES
C 12.01 C.upf
Mg 24.30 Mg.upf
Os 190.23 Os.upf
ATOMIC_POSITIONS crystal
C 0.500 0.000 0.000
C 0.000 0.000 0.500
C 0.000 0.500 0.000
Mg 0.000 0.000 0.000
Os 0.500 0.500 0.500
CELL_PARAMETERS angstrom
3.905 0.000 0.000
0.000 3.905 0.000
0.000 0.000 3.905
! - ΔE_f: 3.4658 eV/atom
! - D(E_F): 5.60 states/eV/f.u.
! - Total magnetization: 0.00 μB/f.u.
! - E above lowest polymorph: 1.848 eV per atom
! - Theoretical density: 6.99 g cm⁻³
! - Space-group type: Pm-3m, No. 221

=====

! Pm2MgOsC PBE relaxed; values from VASP
&SYSTEM
  ibrav = 0, nat = 5, ntyp = 4
/
ATOMIC_SPECIES
Pm 145.00 Pm.upf
Mg 24.30 Mg.upf
C 12.01 C.upf
Os 190.23 Os.upf
ATOMIC_POSITIONS crystal
Pm 0.000 0.500 0.000
Pm 0.000 0.000 0.500
Mg 0.500 0.500 0.500
C 0.000 0.000 0.000
Os 0.500 0.000 0.000
CELL_PARAMETERS angstrom
-3.653 0.027 1.486
-1.946 -0.757 -4.770
0.252 -5.152 0.715
! - ΔE_f: -0.2276 eV/atom
! - D(E_F): 2.38 states/eV/f.u.
! - Total magnetization: 0.00 μB/f.u.
! - Theoretical density: 8.02 g cm⁻³
! - Space-group type: P4/mmm, No. 123

=====

! MgScOs2C PBE relaxed; values from VASP
&SYSTEM
  ibrav = 0, nat = 5, ntyp = 4
/
ATOMIC_SPECIES
Sc 44.96 Sc.upf
Mg 24.30 Mg.upf
C 12.01 C.upf
Os 190.23 Os.upf
ATOMIC_POSITIONS crystal
Sc 0.500 0.500 0.500
Mg 0.000 0.500 0.000
C 0.000 0.000 0.000
Os 0.000 0.000 0.500
Os 0.500 0.000 0.000
CELL_PARAMETERS angstrom
-1.649 -2.270 3.028
3.133 -2.827 -0.413
2.240 2.077 2.776
! - ΔE_f: 0.0370 eV/atom
! - D(E_F): 2.67 states/eV/f.u.
! - Total magnetization: 0.00 μB/f.u.
! - Theoretical density: 10.61 g cm⁻³
! - Space-group type: P4/mmm, No. 123

=====

! Sm2MgOsC PBE relaxed; values from VASP
&SYSTEM
  ibrav = 0, nat = 5, ntyp = 4
/
ATOMIC_SPECIES
Sm 150.36 Sm.upf
Os 190.23 Os.upf
Mg 24.30 Mg.upf
C 12.01 C.upf
ATOMIC_POSITIONS crystal
Sm 0.000 0.000 0.500
Sm 0.000 0.500 0.000
Os 0.500 0.000 0.000
Mg 0.500 0.500 0.500
C 0.000 0.000 0.000
CELL_PARAMETERS angstrom
3.942 0.000 0.000
0.000 5.170 0.000
0.000 0.000 5.170
! - ΔE_f: -0.2424 eV/atom
! - D(E_F): 2.54 states/eV/f.u.
! - Total magnetization: 0.00 μB/f.u.
! - Theoretical density: 8.31 g cm⁻³
! - Space-group type: P4/mmm, No. 123

=====

! SrMgOsC2 PBE relaxed; values from VASP
&SYSTEM
  ibrav = 0, nat = 5, ntyp = 4
/
ATOMIC_SPECIES
Sr 87.62 Sr.upf
C 12.01 C.upf
Os 190.23 Os.upf
Mg 24.30 Mg.upf
ATOMIC_POSITIONS crystal
Sr 0.000 0.000 0.000
C 0.000 0.000 0.500
C 0.500 0.000 0.000
Os 0.000 0.500 0.000
Mg 0.500 0.500 0.500
CELL_PARAMETERS angstrom
4.548 0.000 0.000
0.000 5.327 0.000
0.000 0.000 4.548
! - ΔE_f: 3.2753 eV/atom
! - D(E_F): 4.81 states/eV/f.u.
! - Total magnetization: 2.15 μB/f.u.
! - Theoretical density: 4.92 g cm⁻³
! - Space-group type: P4/mmm, No. 123

=====

! YMgOs2C PBE relaxed; values from VASP
&SYSTEM
  ibrav = 0, nat = 5, ntyp = 4
/
ATOMIC_SPECIES
Os 190.23 Os.upf
C 12.01 C.upf
Y 88.91 Y.upf
Mg 24.30 Mg.upf
ATOMIC_POSITIONS crystal
Os 0.000 0.000 0.500
Os 0.500 0.000 0.000
C 0.000 0.500 0.000
Y 0.000 0.000 0.000
Mg 0.500 0.500 0.500
CELL_PARAMETERS angstrom
-3.872 -0.441 -3.197
2.222 -3.003 -2.276
-1.965 -3.639 2.883
! - ΔE_f: 2.5918 eV/atom
! - D(E_F): 5.55 states/eV/f.u.
! - Total magnetization: 1.60 μB/f.u.
! - Theoretical density: 7.55 g cm⁻³
! - Space-group type: P4/mmm, No. 123

=====

! Mg2ZnOsC PBE relaxed; values from VASP
&SYSTEM
  ibrav = 0, nat = 5, ntyp = 4
/
ATOMIC_SPECIES
Mg 24.30 Mg.upf
Zn 65.41 Zn.upf
C 12.01 C.upf
Os 190.23 Os.upf
ATOMIC_POSITIONS crystal
Mg 0.500 0.000 0.000
Mg 0.000 0.500 0.000
Zn 0.500 0.500 0.500
C 0.000 0.000 0.000
Os 0.000 0.000 0.500
CELL_PARAMETERS angstrom
4.371 0.000 0.000
0.000 4.371 0.000
0.000 0.000 3.931
! - ΔE_f: 0.1651 eV/atom
! - D(E_F): 1.73 states/eV/f.u.
! - Total magnetization: 0.00 μB/f.u.
! - Theoretical density: 6.99 g cm⁻³
! - Space-group type: P4/mmm, No. 123

=====

! MgPC2 PBE relaxed; values from VASP
&SYSTEM
  ibrav = 0, nat = 4, ntyp = 3
/
ATOMIC_SPECIES
C 12.01 C.upf
Mg 24.30 Mg.upf
P 30.97 P.upf
ATOMIC_POSITIONS crystal
C 0.250 0.250 0.250
C 0.750 0.750 0.750
Mg 0.000 0.000 0.000
P 0.500 0.500 0.500
CELL_PARAMETERS angstrom
0.000 2.753 2.753
2.753 0.000 2.753
2.753 2.753 0.000
! - ΔE_f: 1.8552 eV/atom
! - D(E_F): 1.40 states/eV/f.u.
! - Total magnetization: 0.00 μB/f.u.
! - E above lowest polymorph: 1.358 eV per atom
! - Theoretical density: 3.15 g cm⁻³
! - Space-group type: Fm-3m, No. 225

=====

! MgP2C2 PBE relaxed; values from VASP
&SYSTEM
  ibrav = 0, nat = 10, ntyp = 3
/
ATOMIC_SPECIES
C 12.01 C.upf
P 30.97 P.upf
Mg 24.30 Mg.upf
ATOMIC_POSITIONS crystal
C 0.299 0.201 0.000
C 0.701 0.799 0.000
C 0.201 0.701 0.000
C 0.799 0.299 0.000
P 0.888 0.388 0.500
P 0.388 0.112 0.500
P 0.612 0.888 0.500
P 0.112 0.612 0.500
Mg 0.500 0.500 0.000
Mg 0.000 0.000 0.000
CELL_PARAMETERS angstrom
-4.652 -0.683 4.707
-2.900 -4.811 -3.564
1.701 -2.050 1.383
! - ΔE_f: 0.7109 eV/atom
! - D(E_F): 1.34 states/eV/f.u.
! - Total magnetization: 0.00 μB/f.u.
! - E above lowest polymorph: 0.000 eV per atom
! - Theoretical density: 2.76 g cm⁻³
! - Space-group type: P4/mbm, No. 127

=====

! MgP2C2 PBE relaxed; values from VASP
&SYSTEM
  ibrav = 0, nat = 5, ntyp = 3
/
ATOMIC_SPECIES
Mg 24.30 Mg.upf
C 12.01 C.upf
P 30.97 P.upf
ATOMIC_POSITIONS crystal
Mg 0.000 0.000 0.000
C 0.750 0.750 0.500
C 0.250 0.250 0.500
P 0.750 0.250 0.500
P 0.250 0.750 0.500
CELL_PARAMETERS angstrom
3.875 0.000 0.000
0.000 3.875 0.000
1.937 1.937 4.433
! - ΔE_f: 0.9037 eV/atom
! - D(E_F): 1.80 states/eV/f.u.
! - Total magnetization: 0.00 μB/f.u.
! - E above lowest polymorph: 0.193 eV per atom
! - Theoretical density: 2.75 g cm⁻³
! - Space-group type: I4/mmm, No. 139

=====

! MgP3C PBE relaxed; values from VASP
&SYSTEM
  ibrav = 0, nat = 5, ntyp = 3
/
ATOMIC_SPECIES
P 30.97 P.upf
Mg 24.30 Mg.upf
C 12.01 C.upf
ATOMIC_POSITIONS crystal
P 0.500 0.000 0.000
P 0.000 0.000 0.500
P 0.000 0.500 0.000
Mg 0.000 0.000 0.000
C 0.500 0.500 0.500
CELL_PARAMETERS angstrom
4.702 0.000 0.000
0.000 4.702 0.000
0.000 0.000 4.702
! - ΔE_f: 2.3272 eV/atom
! - D(E_F): 4.21 states/eV/f.u.
! - Total magnetization: 0.00 μB/f.u.
! - Theoretical density: 2.06 g cm⁻³
! - Space-group type: Pm-3m, No. 221

=====

! MgPC2 PBE relaxed; values from VASP
&SYSTEM
  ibrav = 0, nat = 8, ntyp = 3
/
ATOMIC_SPECIES
P 30.97 P.upf
C 12.01 C.upf
Mg 24.30 Mg.upf
ATOMIC_POSITIONS crystal
P 0.000 0.000 0.000
P 0.750 0.250 0.500
C 0.704 0.125 0.250
C 0.375 0.296 0.750
C 0.875 0.954 0.750
C 0.046 0.625 0.250
Mg 0.500 0.500 0.000
Mg 0.250 0.750 0.500
CELL_PARAMETERS angstrom
4.955 0.000 0.000
0.000 4.955 0.000
2.477 2.477 3.802
! - ΔE_f: 0.4971 eV/atom
! - D(E_F): 2.94 states/eV/f.u.
! - Total magnetization: 0.00 μB/f.u.
! - E above lowest polymorph: 0.000 eV per atom
! - Theoretical density: 2.82 g cm⁻³
! - Space-group type: I-42d, No. 122

=====

! MgPC3 PBE relaxed; values from VASP
&SYSTEM
  ibrav = 0, nat = 5, ntyp = 3
/
ATOMIC_SPECIES
C 12.01 C.upf
Mg 24.30 Mg.upf
P 30.97 P.upf
ATOMIC_POSITIONS crystal
C 0.000 0.000 0.500
C 0.500 0.000 0.000
C 0.000 0.500 0.000
Mg 0.000 0.000 0.000
P 0.500 0.500 0.500
CELL_PARAMETERS angstrom
4.088 0.000 0.000
0.000 4.088 0.000
0.000 0.000 4.088
! - ΔE_f: 3.2657 eV/atom
! - D(E_F): 4.76 states/eV/f.u.
! - Total magnetization: 0.00 μB/f.u.
! - E above lowest polymorph: 1.563 eV per atom
! - Theoretical density: 2.22 g cm⁻³
! - Space-group type: Pm-3m, No. 221

=====

! MgPC3 PBE relaxed; values from VASP
&SYSTEM
  ibrav = 0, nat = 5, ntyp = 3
/
ATOMIC_SPECIES
C 12.01 C.upf
Mg 24.30 Mg.upf
P 30.97 P.upf
ATOMIC_POSITIONS crystal
C 0.000 0.000 0.500
C 0.500 0.000 0.000
C 0.000 0.500 0.000
Mg 0.500 0.500 0.500
P 0.000 0.000 0.000
CELL_PARAMETERS angstrom
3.672 0.000 0.000
0.000 3.672 0.000
0.000 0.000 3.672
! - ΔE_f: 1.7023 eV/atom
! - D(E_F): 2.27 states/eV/f.u.
! - Total magnetization: 0.00 μB/f.u.
! - E above lowest polymorph: 0.000 eV per atom
! - Theoretical density: 3.06 g cm⁻³
! - Space-group type: Pm-3m, No. 221